Material: ScPaMnS6
Method: DFT, GGA-PBE
State: optimized geometry

Unit cell a=6.2119 b=6.2119 c=5.8703 alpha=90.00 beta=90.00 gamma=120.00
Closest atoms and distances in Å follow each position.
Fractional positions:
Sc: 0.0000 0.0000 0.0000  6 S 2.55
Pa: 0.6667 0.3333 0.5000  6 S 2.66
Mn: 0.3333 0.6667 0.0000  6 S 2.36
S: 0.0252 0.3578 0.2350  1 Mn 2.36, 1 Sc 2.55
S: 0.0252 0.6674 0.7650  1 Mn 2.36, 1 Sc 2.55
S: 0.3326 0.3578 0.7650  1 Mn 2.36, 1 Sc 2.55
S: 0.3326 0.9748 0.2350  1 Mn 2.36, 1 Sc 2.55
S: 0.6422 0.6674 0.2350  1 Mn 2.36, 1 Sc 2.55
S: 0.6422 0.9748 0.7650  1 Mn 2.36, 1 Sc 2.55

Summary:
* VASP energy: -6.66 eV per atom
* energy relative to the elements, uncorrected: -1.13 eV/atom

---

Material: Sc2PaMnS6
Method: DFT, GGA-PBE
State: optimized geometry

Unit cell a=7.0428 b=7.0428 c=7.0428 alpha=55.32 beta=55.32 gamma=55.32
Closest atoms and distances in Å follow each position.
Fractional positions:
Sc: 0.0000 0.0000 0.0000  6 S 2.58-2.64
Sc: 0.4994 0.4994 0.4994  6 S 2.59-2.62
Pa: 0.1902 0.1902 0.1902  6 S 2.66-2.70
Mn: 0.6911 0.6911 0.6911  6 S 2.56-2.61
S: 0.0944 0.4070 0.7766  1 Mn 2.56, 2 Sc 2.59-2.64, 1 Pa 2.70
S: 0.2888 0.8935 0.6047  2 Sc 2.58-2.62, 1 Mn 2.61, 1 Pa 2.66
S: 0.4070 0.7766 0.0944  1 Mn 2.56, 2 Sc 2.59-2.64, 1 Pa 2.70
S: 0.6047 0.2888 0.8935  2 Sc 2.58-2.62, 1 Mn 2.61, 1 Pa 2.66
S: 0.7766 0.0944 0.4070  1 Mn 2.56, 2 Sc 2.59-2.64, 1 Pa 2.70
S: 0.8935 0.6047 0.2888  2 Sc 2.58-2.62, 1 Mn 2.61, 1 Pa 2.66

Summary:
* VASP energy: -7.10 eV per atom
* energy relative to the elements, uncorrected: -1.49 eV/atom

---

Material: Pa4MnSe2S
Method: DFT, GGA-PBE
State: optimized geometry

Unit cell a=6.9583 b=3.8161 c=7.1576 alpha=90.00 beta=108.41 gamma=90.00
Closest atoms and distances in Å follow each position.
Fractional positions:
Pa: 0.2225 0.0000 0.2104  2 Mn 2.61, 1 S 2.80
Pa: 0.2532 0.5000 0.7731  2 S 2.73, 1 Mn 2.75, 3 Se 2.90-2.98
Pa: 0.7468 0.5000 0.2269  2 S 2.73, 1 Mn 2.75, 3 Se 2.90-2.98
Pa: 0.7775 0.0000 0.7896  2 Mn 2.61, 1 S 2.80
Mn: 0.0000 0.5000 0.0000  6 Pa 2.61-2.75
Se: 0.0000 0.0000 0.5000  6 Pa 2.90-2.95
Se: 0.5000 0.5000 0.5000  6 Pa 2.98-3.02
S: 0.5000 0.0000 0.0000  6 Pa 2.73-2.80

Summary:
* VASP energy: -8.28 eV per atom
* energy relative to the elements, uncorrected: -1.00 eV/atom

---

- Number 2 is which compound?
  Sc2PaMnS6

---

- Which value of VASP energy does entry 2 give?
  -7.10 eV per atom

---

- What is the formula in the first record?
  ScPaMnS6